4
Lattice="3.5309 0.0000 0.0000 1.7654 3.0578 0.0000 1.7654 1.0193 7.5697" Properties=species:S:1:pos:R:3 comment="PrPaFe2 | Alexandria | PBE | relaxed" dft_energy_ev_per_cell=-30.19 dos_at_fermi_per_ev_atom=1.12 magmom_total_mub_per_fu=1.50 formation_energy_ev_per_atom=0.253 rho_g_cm3=9.83 pbc="T T T"
Fe 5.2963 3.0578 5.9479
Fe 1.7654 1.0193 1.6218
Pr 3.5309 2.0386 3.7848
Pa 0.0000 0.0000 0.0000

4
Lattice="-1.0848 -4.6854 -0.7893 3.5612 -3.3185 -0.2425 0.5386 -3.2626 3.5803" Properties=species:S:1:pos:R:3 comment="DyLuZnIr | Alexandria | PBE | relaxed" dft_energy_ev_per_cell=-21.93 dos_at_fermi_per_ev_atom=0.67 magmom_total_mub_per_fu=0.00 formation_energy_ev_per_atom=-0.668 rho_g_cm3=12.07 pbc="T T T"
Zn 0.0000 0.0000 0.0000
Dy 0.7537 -2.8166 0.6371
Lu 2.2612 -8.4499 1.9113
Ir 1.5075 -5.6333 1.2742

4
Lattice="-1.7259 0.0208 -2.3536 2.5832 -2.4614 -1.9161 -2.5887 -4.1658 1.8615" Properties=species:S:1:pos:R:3 comment="Ru2WSe | Alexandria | PBE | relaxed" dft_energy_ev_per_cell=-33.57 dos_at_fermi_per_ev_atom=0.74 magmom_total_mub_per_fu=0.00 rho_g_cm3=12.45 pbc="T T T"
Ru -2.4986 -4.0208 1.7967
Ru -0.3408 -2.4586 -1.5815
Se -1.1768 -1.8938 0.8462
W -1.5982 -4.4821 -0.6773

19
Lattice="6.3909 0.0000 2.0488 -3.1560 5.8199 2.5168 0.0788 0.0000 7.0823" Properties=species:S:1:pos:R:3 comment="Zn12GaCu6 | Alexandria | PBE | relaxed" dft_energy_ev_per_cell=-43.36 dos_at_fermi_per_ev_atom=0.32 magmom_total_mub_per_fu=0.00 formation_energy_ev_per_atom=-0.025 rho_g_cm3=7.82 pbc="T T T"
Cu 3.4345 1.2309 4.0624
Cu -1.8164 3.9932 5.5463
Cu 2.0693 3.0576 8.0816
Cu 5.1300 1.8267 6.1015
Cu -0.1209 4.5889 7.5855
Cu 1.2443 2.7622 3.5662
Zn 0.6642 4.9194 5.0997
Zn 1.7403 0.6699 2.0560
Zn 2.3649 5.5067 7.1368
Zn -0.9396 4.2495 3.0875
Zn 0.3689 2.5070 6.0350
Zn 3.7693 3.6260 10.0841
Zn 0.9487 0.3132 4.5111
Zn -0.4557 2.1939 1.5638
Zn 4.2532 1.5704 8.5604
Zn 2.6494 0.9005 6.5481
Zn 2.9447 3.3128 5.6128
Zn 1.5733 5.1499 9.5919
Ga 0.0000 0.0000 0.0000

10
Lattice="7.7626 -0.0004 0.0000 0.0005 7.7626 0.0000 3.8815 3.8811 5.4890" Properties=species:S:1:pos:R:3 comment="Ba2CaCdAg6 | Alexandria | PBE | relaxed" dft_energy_ev_per_cell=-22.84 dos_at_fermi_per_ev_atom=0.37 magmom_total_mub_per_fu=0.00 formation_energy_ev_per_atom=0.103 rho_g_cm3=5.39 pbc="T T T"
Cd 0.0000 0.0000 0.0000
Ba 3.8818 7.7624 2.7445
Ba 7.7629 3.8809 2.7445
Ag 1.8816 1.8814 0.0000
Ag 7.7631 7.7622 2.6608
Ag 9.7630 9.7619 5.4891
Ag 5.8813 1.8811 0.0000
Ag 3.8815 3.8811 2.8283
Ag 1.8818 5.8811 0.0000
Ca 3.8816 3.8811 0.0000

11
Lattice="5.7302 0.0000 0.0000 0.0000 7.0730 -0.1355 -2.8651 -3.2015 8.3734" Properties=species:S:1:pos:R:3 comment="Pr8In2Co | Alexandria | PBE | relaxed" dft_energy_ev_per_cell=-52.73 dos_at_fermi_per_ev_atom=1.04 magmom_total_mub_per_fu=0.00 formation_energy_ev_per_atom=-0.173 rho_g_cm3=6.98 pbc="T T T"
In 2.8651 0.1483 5.2985
In 0.0000 3.7232 2.9395
Pr 0.0000 1.7341 6.5759
Pr 0.0000 0.3838 3.3652
Pr 0.0000 5.3917 -0.0666
Pr 2.8651 2.1374 1.6621
Pr 0.0000 -1.6488 6.0907
Pr 2.8651 -1.5202 8.3046
Pr 2.8651 3.4877 4.8728
Pr 2.8651 5.5203 2.1473
Co 2.8651 0.0000 0.0000

5
Lattice="3.5529 0.0000 0.0000 0.0000 4.8502 0.0000 0.0000 0.0000 3.5529" Properties=species:S:1:pos:R:3 comment="SiBAuF2 | Alexandria | PBE | relaxed" dft_energy_ev_per_cell=-20.92 dos_at_fermi_per_ev_atom=0.18 magmom_total_mub_per_fu=0.00 rho_g_cm3=7.43 pbc="T T T"
B 0.0000 0.0000 0.0000
F 0.0000 0.0000 1.7764
F 1.7764 0.0000 0.0000
Au 1.7764 2.4251 1.7764
Si 0.0000 2.4251 0.0000

4
Lattice="-0.6411 5.9549 3.0657 2.5910 4.6035 4.1672 2.3090 6.2554 0.8995" Properties=species:S:1:pos:R:3 comment="CaTeN2 | Alexandria | PBE | relaxed" dft_energy_ev_per_cell=-20.56 dos_at_fermi_per_ev_atom=0.07 magmom_total_mub_per_fu=0.00 rho_g_cm3=4.36 pbc="T T T"
N 3.8236 15.0956 7.3013
N 0.4352 1.7183 0.8311
Ca 2.1294 8.4070 4.0662
Te 0.0000 0.0000 0.0000